Here is a geometry-optimized MnFeBP2 structure from Alexandria. Energies are from PBE-GGA.

abc: 11.629 2.998 3.118
angles: 90.00 90.09 90.00
Fractional coordinates of all 10 atoms:
Mn1 0.000 0.000 0.000
Mn2 0.500 0.500 0.000
Fe1 0.272 0.500 0.502
Fe2 0.772 0.000 0.502
B1 0.140 0.000 0.501
B2 0.640 0.500 0.501
P1 0.147 0.500 0.001
P2 0.417 0.000 0.500
P3 0.647 0.000 0.001
P4 0.917 0.500 0.500

Total magnetic moment (μB per formula unit): 1.39
ΔH_f (0 K) (eV per formula unit): -1.063
Fermi-level density of states (states/eV per cell): 4.89
Crystal system: monoclinic
VASP energy (eV per atom): -7.2384
V (Å³ per cell): 108.7
ΔE to the lowest computed polymorph (meV per atom): 52